[1]
Compound: Ta3Nb3Al
Source: Alexandria
Functional: PBE
Structure: relaxed

abc: 8.063 8.063 8.063
angles: 90.00 90.00 90.00
Fractional coordinates of all 28 atoms:
Nb 0.326 0.868 0.057
Nb 0.943 0.826 0.632
Nb 0.368 0.443 0.674
Nb 0.868 0.057 0.326
Nb 0.826 0.632 0.943
Nb 0.674 0.368 0.443
Nb 0.557 0.174 0.132
Nb 0.443 0.674 0.368
Nb 0.174 0.132 0.557
Nb 0.632 0.943 0.826
Nb 0.057 0.326 0.868
Nb 0.132 0.557 0.174
Ta 0.964 0.964 0.964
Ta 0.165 0.165 0.165
Ta 0.349 0.151 0.849
Ta 0.464 0.536 0.036
Ta 0.835 0.665 0.335
Ta 0.335 0.835 0.665
Ta 0.036 0.464 0.536
Ta 0.536 0.036 0.464
Ta 0.665 0.335 0.835
Ta 0.651 0.651 0.651
Ta 0.151 0.849 0.349
Ta 0.849 0.349 0.151
Al 0.852 0.148 0.648
Al 0.352 0.352 0.352
Al 0.648 0.852 0.148
Al 0.148 0.648 0.852

Calculated values
Its energy of formation is 227 meV per atom. The calculation puts the total energy at -9.703 eV per atom. The symmetry is P2_13. The calculated volume is 18.72 Å³ per atom.



[2]
Compound: TaNb4Al
Source: Alexandria
Functional: PBE
Structure: relaxed

abc: 3.482 5.442 6.216
angles: 76.06 90.00 71.33
Fractional coordinates of all 6 atoms:
Nb 0.167 0.161 0.828
Nb 0.164 0.168 0.325
Nb 0.837 0.822 0.679
Nb 0.834 0.830 0.176
Ta 0.501 0.495 0.502
Al 0.501 0.495 0.002

Calculated values
Its energy of formation is -76 meV per atom. The calculation puts the total energy at -9.389 eV per atom. The symmetry is C2/m. The calculated volume is 17.99 Å³ per atom.



[3]
Compound: TaNbAl3
Source: Alexandria
Functional: PBE
Structure: relaxed

abc: 4.813 4.813 4.813
angles: 90.00 90.00 90.00
Fractional coordinates of all 5 atoms:
Ta 0.000 0.000 0.000
Al 0.000 0.500 0.000
Al 0.500 0.000 0.000
Al 0.000 0.000 0.500
Nb 0.500 0.500 0.500

Calculated values
Its energy of formation is 1223 meV per atom. The calculation puts the total energy at -5.407 eV per atom. The symmetry is Pm-3m. The calculated volume is 22.29 Å³ per atom. Its distance to the lowest polymorph of the same formula is 0.000 eV per atom.



[4]
Compound: TaNbAl
Source: Alexandria
Functional: PBE
Structure: relaxed

abc: 5.310 5.639 7.373
angles: 74.37 81.68 30.01
Fractional coordinates of all 6 atoms:
Nb 0.076 0.613 0.020
Nb 0.076 0.113 0.020
Ta 0.403 0.094 0.680
Ta 0.748 0.132 0.361
Al 0.506 0.495 0.690
Al 0.645 0.732 0.351

Calculated values
Its energy of formation is -156 meV per atom. The calculation puts the total energy at -8.711 eV per atom. The symmetry is P-1. The calculated volume is 17.42 Å³ per atom. Its distance to the lowest polymorph of the same formula is 0.000 eV per atom.



[5]
Compound: Ta6Nb2Al
Source: Alexandria
Functional: PBE
Structure: relaxed

abc: 7.605 8.965 8.965
angles: 109.90 117.99 117.99
Fractional coordinates of all 18 atoms:
Ta 0.819 0.490 0.323
Ta 0.181 0.177 0.010
Ta 0.181 0.510 0.677
Ta 0.681 0.677 0.510
Ta 0.681 0.010 0.177
Ta 0.319 0.323 0.490
Ta 0.084 0.916 0.416
Ta 0.416 0.584 0.084
Ta 0.916 0.084 0.584
Ta 0.584 0.416 0.916
Ta 0.819 0.823 0.990
Ta 0.319 0.990 0.823
Al 0.750 0.250 0.750
Al 0.250 0.750 0.250
Nb 0.500 0.166 0.335
Nb 0.000 0.335 0.166
Nb 0.000 0.665 0.834
Nb 0.500 0.834 0.665

Calculated values
Its energy of formation is 79 meV per atom. The calculation puts the total energy at -10.476 eV per atom. The symmetry is C2/m. The calculated volume is 18.40 Å³ per atom.



[6]
Compound: TaNb2Al2
Source: Alexandria
Functional: PBE
Structure: relaxed

abc: 7.959 7.959 2.820
angles: 90.00 90.00 90.00
Fractional coordinates of all 10 atoms:
Al 0.679 0.821 0.500
Al 0.179 0.679 0.500
Al 0.821 0.321 0.500
Al 0.321 0.179 0.500
Nb 0.380 0.880 0.000
Nb 0.120 0.380 0.000
Nb 0.880 0.620 0.000
Nb 0.620 0.120 0.000
Ta 0.000 0.000 0.000
Ta 0.500 0.500 0.000

Calculated values
Its energy of formation is 127 meV per atom. The calculation puts the total energy at -7.769 eV per atom. The symmetry is P4/mbm. The calculated volume is 17.86 Å³ per atom. Its distance to the lowest polymorph of the same formula is 0.431 eV per atom.